Record 1
# AlFeCo | the Alexandria database | GGA-PBE | relaxed
data_AlFeCo
_space_group_name_H-M_alt 'P 1'
_space_group_IT_number 1
_cell_length_a 4.009
_cell_length_b 4.009
_cell_length_c 2.590
_cell_angle_alpha 90.00
_cell_angle_beta 90.00
_cell_angle_gamma 120.00
loop_
_space_group_symop_operation_xyz
'x,y,z'
loop_
_atom_site_label
_atom_site_fract_x
_atom_site_fract_y
_atom_site_fract_z
Al1 0.000 0.000 0.000
Fe1 0.333 0.667 0.609
Co1 0.667 0.333 0.348
# ΔE to the lowest computed polymorph: 125.8 meV per atom
# Crystal system: trigonal
# Calculated formation energy: -0.2346 eV per atom
# D(E_F): 2.5 states/eV per cell
# Calculated density: 6.53 g/cm3

Record 2
# BeTcSe2 | the Alexandria database | GGA-PBE | relaxed
data_BeTcSe2
_space_group_name_H-M_alt 'P 1'
_space_group_IT_number 1
_cell_length_a 3.201
_cell_length_b 3.216
_cell_length_c 14.727
_cell_angle_alpha 90.00
_cell_angle_beta 90.00
_cell_angle_gamma 90.00
loop_
_space_group_symop_operation_xyz
'x,y,z'
loop_
_atom_site_label
_atom_site_fract_x
_atom_site_fract_y
_atom_site_fract_z
Be1 0.000 0.000 0.000
Be2 0.500 0.500 0.500
Tc1 0.000 0.500 0.874
Tc2 0.500 0.000 0.374
Se1 0.000 0.000 0.526
Se2 0.000 0.500 0.289
Se3 0.500 0.000 0.789
Se4 0.500 0.500 0.026
# ΔE_f (raw): -0.12 eV per atom
# Crystal system: orthorhombic
# D(E_F): 3.5 states/eV per cell
# Calculated density: 5.80 g/cm3

Record 3
# Pm4TcSn | the Alexandria database | GGA-PBE | relaxed
data_Pm4TcSn
_space_group_name_H-M_alt 'P 1'
_space_group_IT_number 1
_cell_length_a 8.098
_cell_length_b 8.098
_cell_length_c 6.323
_cell_angle_alpha 100.23
_cell_angle_beta 100.23
_cell_angle_gamma 114.02
loop_
_space_group_symop_operation_xyz
'x,y,z'
loop_
_atom_site_label
_atom_site_fract_x
_atom_site_fract_y
_atom_site_fract_z
Pm1 0.059 0.722 0.949
Pm2 0.211 0.358 0.617
Pm3 0.278 0.941 0.551
Pm4 0.358 0.211 0.117
Pm5 0.642 0.789 0.883
Pm6 0.722 0.059 0.449
Pm7 0.789 0.642 0.383
Pm8 0.941 0.278 0.051
Tc1 0.001 0.999 0.250
Tc2 0.999 0.001 0.750
Sn1 0.375 0.625 0.250
Sn2 0.625 0.375 0.750
# Crystal system: monoclinic
# Calculated formation energy: -0.2973 eV per atom
# D(E_F): 12.9 states/eV per cell
# Calculated density: 7.39 g/cm3

Record 4
# EuPdN | the Alexandria database | GGA-PBE | relaxed
data_EuPdN
_space_group_name_H-M_alt 'P 1'
_space_group_IT_number 1
_cell_length_a 3.806
_cell_length_b 3.806
_cell_length_c 3.986
_cell_angle_alpha 90.00
_cell_angle_beta 90.00
_cell_angle_gamma 120.00
loop_
_space_group_symop_operation_xyz
'x,y,z'
loop_
_atom_site_label
_atom_site_fract_x
_atom_site_fract_y
_atom_site_fract_z
Eu1 0.000 0.000 0.000
Pd1 0.667 0.333 0.481
N1 0.333 0.667 0.377
# ΔE_f (raw): -0.19 eV per atom
# Crystal system: trigonal
# D(E_F): 6.2 states/eV per cell
# Calculated density: 9.04 g/cm3

Record 5
# Sc2AlF | the Alexandria database | GGA-PBE | relaxed
data_Sc2AlF
_space_group_name_H-M_alt 'P 1'
_space_group_IT_number 1
_cell_length_a 3.390
_cell_length_b 3.390
_cell_length_c 24.733
_cell_angle_alpha 90.00
_cell_angle_beta 90.00
_cell_angle_gamma 120.00
loop_
_space_group_symop_operation_xyz
'x,y,z'
loop_
_atom_site_label
_atom_site_fract_x
_atom_site_fract_y
_atom_site_fract_z
Sc1 0.000 0.000 0.082
Sc2 0.000 0.000 0.918
Sc3 0.333 0.667 0.584
Sc4 0.333 0.667 0.749
Sc5 0.667 0.333 0.251
Sc6 0.667 0.333 0.416
Al1 0.000 0.000 0.500
Al2 0.333 0.667 0.167
Al3 0.667 0.333 0.833
F1 0.000 0.000 0.000
F2 0.333 0.667 0.667
F3 0.667 0.333 0.333
# ΔE to the lowest computed polymorph: 0.0 meV per atom
# ΔE_f (raw): -1.25 eV per atom
# Crystal system: trigonal
# D(E_F): 10.1 states/eV per cell
# Calculated density: 2.75 g/cm3

Record 6
# BeVAu | the Alexandria database | GGA-PBE | relaxed
data_BeVAu
_space_group_name_H-M_alt 'P 1'
_space_group_IT_number 1
_cell_length_a 5.433
_cell_length_b 3.722
_cell_length_c 7.906
_cell_angle_alpha 90.00
_cell_angle_beta 90.00
_cell_angle_gamma 90.00
loop_
_space_group_symop_operation_xyz
'x,y,z'
loop_
_atom_site_label
_atom_site_fract_x
_atom_site_fract_y
_atom_site_fract_z
Be1 0.190 0.250 0.109
Be2 0.310 0.750 0.609
Be3 0.690 0.250 0.391
Be4 0.810 0.750 0.891
V1 0.142 0.250 0.449
V2 0.358 0.750 0.949
V3 0.642 0.250 0.051
V4 0.858 0.750 0.551
Au1 0.039 0.250 0.798
Au2 0.461 0.750 0.298
Au3 0.539 0.250 0.702
Au4 0.961 0.750 0.202
# ΔE to the lowest computed polymorph: 116.8 meV per atom
# Crystal system: orthorhombic
# Calculated formation energy: 0.0282 eV per atom
# D(E_F): 8.1 states/eV per cell
# Calculated density: 10.67 g/cm3

Record 7
# CaScAgBi | the Alexandria database | GGA-PBE | relaxed
data_CaScAgBi
_space_group_name_H-M_alt 'P 1'
_space_group_IT_number 1
_cell_length_a 7.386
_cell_length_b 7.386
_cell_length_c 7.386
_cell_angle_alpha 90.00
_cell_angle_beta 90.00
_cell_angle_gamma 90.00
loop_
_space_group_symop_operation_xyz
'x,y,z'
loop_
_atom_site_label
_atom_site_fract_x
_atom_site_fract_y
_atom_site_fract_z
Ca1 0.000 0.000 0.000
Ca2 0.000 0.500 0.500
Ca3 0.500 0.000 0.500
Ca4 0.500 0.500 0.000
Sc1 0.000 0.000 0.500
Sc2 0.000 0.500 0.000
Sc3 0.500 0.000 0.000
Sc4 0.500 0.500 0.500
Ag1 0.250 0.250 0.750
Ag2 0.250 0.750 0.250
Ag3 0.750 0.250 0.250
Ag4 0.750 0.750 0.750
Bi1 0.250 0.250 0.250
Bi2 0.250 0.750 0.750
Bi3 0.750 0.250 0.750
Bi4 0.750 0.750 0.250
# Crystal system: cubic
# Calculated formation energy: -0.3849 eV per atom
# D(E_F): 17.1 states/eV per cell
# Calculated density: 6.62 g/cm3

Record 8
# Ag2C | the Alexandria database | GGA-PBE | relaxed
data_Ag2C
_space_group_name_H-M_alt 'P 1'
_space_group_IT_number 1
_cell_length_a 5.363
_cell_length_b 5.363
_cell_length_c 5.481
_cell_angle_alpha 90.00
_cell_angle_beta 90.00
_cell_angle_gamma 120.00
loop_
_space_group_symop_operation_xyz
'x,y,z'
loop_
_atom_site_label
_atom_site_fract_x
_atom_site_fract_y
_atom_site_fract_z
Ag1 0.000 0.334 0.239
Ag2 0.000 0.666 0.761
Ag3 0.334 0.000 0.239
Ag4 0.334 0.334 0.761
Ag5 0.666 0.000 0.761
Ag6 0.666 0.666 0.239
C1 0.000 0.000 0.000
C2 0.333 0.667 0.500
C3 0.667 0.333 0.500
# ΔE to the lowest computed polymorph: 796.1 meV per atom
# Crystal system: trigonal
# Calculated formation energy: 1.4226 eV per atom
# D(E_F): 5.4 states/eV per cell
# Calculated density: 8.31 g/cm3

Record 9
# Nd2Al3ZnCu4 | the Alexandria database | GGA-PBE | relaxed
data_Nd2Al3ZnCu4
_space_group_name_H-M_alt 'P 1'
_space_group_IT_number 1
_cell_length_a 4.267
_cell_length_b 4.267
_cell_length_c 10.031
_cell_angle_alpha 90.00
_cell_angle_beta 90.00
_cell_angle_gamma 90.00
loop_
_space_group_symop_operation_xyz
'x,y,z'
loop_
_atom_site_label
_atom_site_fract_x
_atom_site_fract_y
_atom_site_fract_z
Nd1 0.000 0.500 0.245
Nd2 0.500 0.000 0.755
Al1 0.000 0.500 0.873
Al2 0.500 0.000 0.127
Al3 0.500 0.500 0.500
Zn1 0.000 0.000 0.500
Cu1 0.000 0.000 0.000
Cu2 0.000 0.500 0.630
Cu3 0.500 0.000 0.370
Cu4 0.500 0.500 0.000
# Crystal system: tetragonal
# Calculated formation energy: -0.3472 eV per atom
# D(E_F): 8.1 states/eV per cell
# Calculated density: 6.26 g/cm3